First-principles (PBE) data for a geometry-optimized MgGa6Ag structure, as listed in Alexandria via LeMat-Bulk. Values from VASP.

```
&SYSTEM
  ibrav = 0, nat = 8, ntyp = 3
/
ATOMIC_SPECIES
Mg 24.30 Mg.upf
Ga 69.72 Ga.upf
Ag 107.87 Ag.upf
CELL_PARAMETERS angstrom
3.4521 -4.8785 0.0000
3.4521 4.8785 0.0000
0.0000 0.0000 4.4997
ATOMIC_POSITIONS angstrom
Mg 0.0000 0.0000 0.0000
Ga 1.7261 2.4393 0.0000
Ga 3.4521 2.7474 2.2498
Ga 1.9723 0.0000 2.2498
Ga 1.7261 -2.4393 0.0000
Ga 4.9319 0.0000 2.2498
Ga 3.4521 -2.7474 2.2498
Ag 3.4521 0.0000 0.0000
```

Summary:
Total moment, μB/cell: 0.0
Space-group type: Cmmm, No. 65
Formation enthalpy at 0 K, eV per atom: -0.0037
E above lowest polymorph, eV per atom: 0.0000
Fermi-level density of states, states/eV/f.u.: 3.11